No. 1
This record from Alexandria via LeMat-Bulk describes crystalline NbNiRh at its relaxed geometry. The functional is PBE-GGA.

Cell: 4.295 4.295 2.729 Å, 90.00 90.00 120.00°
Fractional coordinates of all 3 atoms:
Nb: 0.000 0.000 0.000
Ni: 0.333 0.667 0.785
Rh: 0.667 0.333 0.393

Calculated values
- SG = P3m1
- ΔH_f (0 K) (eV per atom) = -0.22
- DFT total energy (eV per atom) = -7.955

=====

No. 2
This record from Alexandria via LeMat-Bulk describes crystalline NbNi2Rh2 at its relaxed geometry. The functional is PBE-GGA.

Cell: 6.984 6.984 2.823 Å, 90.00 90.00 90.00°
Fractional coordinates of all 10 atoms:
Nb: 0.000 0.000 0.000
Nb: 0.500 0.500 0.000
Ni: 0.124 0.376 0.000
Ni: 0.376 0.876 0.000
Ni: 0.624 0.124 0.000
Ni: 0.876 0.624 0.000
Rh: 0.172 0.672 0.500
Rh: 0.328 0.172 0.500
Rh: 0.672 0.828 0.500
Rh: 0.828 0.328 0.500

Calculated values
- SG = P4/mbm
- ΔH_f (0 K) (eV per atom) = -0.09
- DFT total energy (eV per atom) = -7.362
- distance to the lowest polymorph of the same formula (meV/atom) = 160

=====

No. 3
This record from Alexandria via LeMat-Bulk describes crystalline NbNi5Rh6 at its relaxed geometry. The functional is PBE-GGA.

Cell: 4.522 5.428 6.501 Å, 90.00 92.91 90.00°
Fractional coordinates of all 12 atoms:
Nb: 0.000 0.000 0.000
Ni: 0.000 0.500 0.000
Ni: 0.333 0.500 0.675
Ni: 0.336 0.000 0.666
Ni: 0.664 0.000 0.334
Ni: 0.667 0.500 0.325
Rh: 0.169 0.253 0.338
Rh: 0.169 0.747 0.338
Rh: 0.500 0.255 0.000
Rh: 0.500 0.745 0.000
Rh: 0.831 0.253 0.662
Rh: 0.831 0.747 0.662

Calculated values
- SG = P2/m
- ΔH_f (0 K) (eV per atom) = -0.08
- DFT total energy (eV per atom) = -7.005

=====

No. 4
This record from Alexandria via LeMat-Bulk describes crystalline NbNiRh at its relaxed geometry. The functional is PBE-GGA.

Cell: 4.696 2.808 6.818 Å, 90.00 105.02 90.00°
Fractional coordinates of all 6 atoms:
Nb: 0.000 0.000 0.000
Nb: 0.250 0.000 0.634
Ni: 0.758 0.500 0.656
Ni: 0.936 0.500 0.322
Rh: 0.463 0.000 0.326
Rh: 0.502 0.500 0.981

Calculated values
- SG = Pm
- ΔH_f (0 K) (eV per atom) = -0.25
- DFT total energy (eV per atom) = -7.982